# Tb6Pr4Nd, relaxed, DFT PBE
data_Tb6Pr4Nd
_chemical_formula_sum 'Tb12 Pr8 Nd2'
_cell_length_a 7.798
_cell_length_b 7.798
_cell_length_c 13.156
_cell_angle_alpha 90.00
_cell_angle_beta 90.00
_cell_angle_gamma 90.00
_symmetry_space_group_name_H-M 'I -4 2 m'
_symmetry_Int_Tables_number 121
_symmetry_space_group_name_Hall 'I -4 2'
loop_
_atom_site_label
_atom_site_fract_x
_atom_site_fract_y
_atom_site_fract_z
Tb1 0.000 0.500 0.000
Tb2 0.245 0.245 0.185
Pr1 0.175 0.175 0.424
Nd1 0.000 0.000 0.000
# Fermi-level density of states = 1.4100 states/eV/atom
# crystal system = tetragonal
# ΔE to the lowest computed polymorph = 132.0 meV per atom

# Pm3Al6Rh5, relaxed, DFT PBE
data_Pm3Al6Rh5
_chemical_formula_sum 'Pm6 Al12 Rh10'
_cell_length_a 4.168
_cell_length_b 12.762
_cell_length_c 9.647
_cell_angle_alpha 90.00
_cell_angle_beta 90.00
_cell_angle_gamma 90.00
_symmetry_space_group_name_H-M 'P m m n'
_symmetry_Int_Tables_number 59
loop_
_symmetry_equiv_pos_as_xyz
'x,y,z'
'-x,-y,-z'
'-x+1/2,-y+1/2,z'
'x+1/2,y+1/2,-z'
'x+1/2,-y,-z'
'-x+1/2,y,z'
'-x,y+1/2,-z'
'x,-y+1/2,z'
loop_
_atom_site_label
_atom_site_fract_x
_atom_site_fract_y
_atom_site_fract_z
Pm1 0.250 0.057 0.248
Pm2 0.250 0.750 0.269
Al1 0.250 0.065 0.581
Al2 0.250 0.250 0.032
Al3 0.250 0.250 0.431
Al4 0.250 0.596 0.985
Rh1 0.250 0.093 0.866
Rh2 0.250 0.637 0.541
Rh3 0.250 0.750 0.801
# Fermi-level density of states = 0.7025 states/eV/atom
# crystal system = orthorhombic
# final energy = -6.09 eV/atom

# LiBeAlZn, relaxed, DFT PBE
data_LiBeAlZn
_chemical_formula_sum 'Li4 Be4 Al4 Zn4'
_cell_length_a 5.912
_cell_length_b 5.912
_cell_length_c 5.912
_cell_angle_alpha 90.00
_cell_angle_beta 90.00
_cell_angle_gamma 90.00
_symmetry_space_group_name_H-M 'F -4 3 m'
_symmetry_Int_Tables_number 216
_symmetry_space_group_name_Hall 'F -4 2 3'
loop_
_atom_site_label
_atom_site_fract_x
_atom_site_fract_y
_atom_site_fract_z
Li1 0.000 0.000 0.000
Be1 0.000 0.000 0.500
Al1 0.250 0.250 0.750
Zn1 0.250 0.250 0.250
# Fermi-level density of states = 0.2124 states/eV/atom
# crystal system = cubic
# final energy = -2.65 eV/atom

# KYHf2Zr, relaxed, DFT PBE
data_KYHf2Zr
_chemical_formula_sum 'K1 Y1 Hf2 Zr1'
_cell_length_a 5.469
_cell_length_b 5.469
_cell_length_c 5.407
_cell_angle_alpha 90.00
_cell_angle_beta 90.00
_cell_angle_gamma 90.00
_symmetry_space_group_name_H-M 'P 4/m m m'
_symmetry_Int_Tables_number 123
_symmetry_space_group_name_Hall '-P 4 2'
loop_
_atom_site_label
_atom_site_fract_x
_atom_site_fract_y
_atom_site_fract_z
K1 0.000 0.000 0.000
Y1 0.500 0.500 0.500
Hf1 0.000 0.500 0.500
Zr1 0.500 0.500 0.000
# Fermi-level density of states = 1.7194 states/eV/atom
# crystal system = tetragonal
# final energy = -5.67 eV/atom

# TbDyMgZr, relaxed, DFT PBE
data_TbDyMgZr
_chemical_formula_sum 'Tb4 Dy4 Mg4 Zr4'
_cell_length_a 7.571
_cell_length_b 7.571
_cell_length_c 7.571
_cell_angle_alpha 90.00
_cell_angle_beta 90.00
_cell_angle_gamma 90.00
_symmetry_space_group_name_H-M 'F -4 3 m'
_symmetry_Int_Tables_number 216
_symmetry_space_group_name_Hall 'F -4 2 3'
loop_
_atom_site_label
_atom_site_fract_x
_atom_site_fract_y
_atom_site_fract_z
Tb1 0.000 0.000 0.000
Dy1 0.000 0.000 0.500
Mg1 0.250 0.250 0.750
Zr1 0.250 0.250 0.250
# Fermi-level density of states = 1.3729 states/eV/atom
# crystal system = cubic
# final energy = -4.72 eV/atom

# Sm4N2Cl3, relaxed, DFT PBE
data_Sm4N2Cl3
_chemical_formula_sum 'Sm8 N4 Cl6'
_cell_length_a 6.379
_cell_length_b 3.683
_cell_length_c 17.003
_cell_angle_alpha 90.00
_cell_angle_beta 90.06
_cell_angle_gamma 90.00
_symmetry_space_group_name_H-M 'C 1 2/m 1'
_symmetry_Int_Tables_number 12
_symmetry_space_group_name_Hall '-C 2y'
loop_
_atom_site_label
_atom_site_fract_x
_atom_site_fract_y
_atom_site_fract_z
Sm1 0.001 0.000 0.281
Sm2 0.166 0.500 0.874
N1 0.167 0.500 0.201
Cl1 0.000 0.000 0.000
Cl2 0.166 0.500 0.612
# Fermi-level density of states = 0.2984 states/eV/atom
# crystal system = monoclinic
# ΔE_f (raw) = -1746 meV/atom
# ΔE to the lowest computed polymorph = 0.0 meV per atom

# BeB2O4, relaxed, DFT PBE
data_BeB2O4
_chemical_formula_sum 'Be2 B4 O8'
_cell_length_a 3.848
_cell_length_b 3.848
_cell_length_c 9.139
_cell_angle_alpha 90.00
_cell_angle_beta 90.00
_cell_angle_gamma 90.00
_symmetry_space_group_name_H-M 'I -4 2 m'
_symmetry_Int_Tables_number 121
_symmetry_space_group_name_Hall 'I -4 2'
loop_
_atom_site_label
_atom_site_fract_x
_atom_site_fract_y
_atom_site_fract_z
Be1 0.000 0.000 0.000
B1 0.000 0.500 0.000
O1 0.246 0.246 0.919
# Fermi-level density of states = 0.0000 states/eV/atom
# crystal system = tetragonal
# ΔE_f (raw) = -1880 meV/atom
# ΔE to the lowest computed polymorph = 471.7 meV per atom

# CaGeAu2, relaxed, DFT PBE
data_CaGeAu2
_chemical_formula_sum 'Ca4 Ge4 Au8'
_cell_length_a 5.029
_cell_length_b 5.029
_cell_length_c 16.668
_cell_angle_alpha 90.00
_cell_angle_beta 90.00
_cell_angle_gamma 90.00
_symmetry_space_group_name_H-M 'I -4 2 d'
_symmetry_Int_Tables_number 122
_symmetry_space_group_name_Hall 'I -4 2bw'
loop_
_atom_site_label
_atom_site_fract_x
_atom_site_fract_y
_atom_site_fract_z
Ca1 0.000 0.000 0.000
Ge1 0.000 0.000 0.500
Au1 0.140 0.250 0.625
# Fermi-level density of states = 0.1763 states/eV/atom
# crystal system = tetragonal
# final energy = -3.65 eV/atom

# CeFeGeH2, relaxed, DFT PBE
data_CeFeGeH2
_chemical_formula_sum 'Ce4 Fe4 Ge4 H8'
_cell_length_a 3.921
_cell_length_b 10.514
_cell_length_c 5.714
_cell_angle_alpha 90.00
_cell_angle_beta 90.00
_cell_angle_gamma 90.00
_symmetry_space_group_name_H-M 'C m c m'
_symmetry_Int_Tables_number 63
_symmetry_space_group_name_Hall '-C 2c 2'
loop_
_atom_site_label
_atom_site_fract_x
_atom_site_fract_y
_atom_site_fract_z
Ce1 0.000 0.205 0.250
Fe1 0.000 0.500 0.000
Ge1 0.000 0.074 0.750
H1 0.000 0.349 0.558
# Fermi-level density of states = 0.8467 states/eV/atom
# crystal system = orthorhombic
# final energy = -5.61 eV/atom

# DyPuMnTc, relaxed, DFT PBE
data_DyPuMnTc
_chemical_formula_sum 'Dy4 Pu4 Mn4 Tc4'
_cell_length_a 6.800
_cell_length_b 6.800
_cell_length_c 6.800
_cell_angle_alpha 90.00
_cell_angle_beta 90.00
_cell_angle_gamma 90.00
_symmetry_space_group_name_H-M 'F -4 3 m'
_symmetry_Int_Tables_number 216
_symmetry_space_group_name_Hall 'F -4 2 3'
loop_
_atom_site_label
_atom_site_fract_x
_atom_site_fract_y
_atom_site_fract_z
Dy1 0.000 0.000 0.000
Pu1 0.000 0.000 0.500
Mn1 0.250 0.250 0.750
Tc1 0.250 0.250 0.250
# Fermi-level density of states = 1.7110 states/eV/atom
# crystal system = cubic
# final energy = -9.53 eV/atom

# ScBe2NiB, relaxed, DFT PBE
data_ScBe2NiB
_chemical_formula_sum 'Sc2 Be4 Ni2 B2'
_cell_length_a 3.257
_cell_length_b 3.478
_cell_length_c 9.403
_cell_angle_alpha 90.00
_cell_angle_beta 90.00
_cell_angle_gamma 90.00
_symmetry_space_group_name_H-M 'I m m 2'
_symmetry_Int_Tables_number 44
_symmetry_space_group_name_Hall 'I 2 -2'
loop_
_atom_site_label
_atom_site_fract_x
_atom_site_fract_y
_atom_site_fract_z
Sc1 0.000 0.000 0.000
Be1 0.000 0.000 0.616
Be2 0.000 0.500 0.275
Ni1 0.000 0.500 0.763
B1 0.000 0.000 0.400
# Fermi-level density of states = 0.6281 states/eV/atom
# crystal system = orthorhombic
# final energy = -5.60 eV/atom

# CaSbP2S8, relaxed, DFT PBE
data_CaSbP2S8
_chemical_formula_sum 'Ca1 Sb1 P2 S8'
_cell_length_a 6.0293
_cell_length_b 6.0293
_cell_length_c 8.8950
_cell_angle_alpha 90.00
_cell_angle_beta 90.00
_cell_angle_gamma 120.00
_symmetry_space_group_name_H-M 'P -3'
_symmetry_Int_Tables_number 147
_symmetry_space_group_name_Hall '-P 3'
loop_
_atom_site_label
_atom_site_fract_x
_atom_site_fract_y
_atom_site_fract_z
Ca1 0.0000 0.0000 0.0000
Sb1 0.0000 0.0000 0.5000
P1 0.3333 0.6667 0.7656
S1 0.0053 0.3306 0.7045
S2 0.3333 0.6667 0.9906
# Fermi-level density of states = 0.4736 states/eV/atom
# crystal system = trigonal
# ΔE_f (raw) = -390 meV/atom